The following is a PBE calculation of an optimized crystal structure of Pm3Pr8Dy2, from Alexandria via LeMat-Bulk.

Lattice parameters (Å, degrees): 8.9657 8.9657 6.2684 107.00 107.00 83.91
Last column: nearest neighbours and their distance in Å.
Atoms (fractional coordinates):
Pm (0.0000, 0.0000, 0.0000)  2 Pr 3.24, 2 Dy 3.59
Pm (0.2459, 0.7541, 0.5000)  8 Pr 3.52-3.92
Pm (0.7541, 0.2459, 0.5000)  8 Pr 3.52-3.92
Pr (0.0827, 0.5723, 0.8289)  2 Dy 3.46-3.69, 4 Pr 3.52-3.82, 2 Pm 3.64-3.72
Pr (0.1517, 0.1517, 0.5511)  3 Pm 3.24-3.52, 1 Dy 3.44, 1 Pr 3.62
Pr (0.4277, 0.9173, 0.1711)  2 Dy 3.46-3.69, 4 Pr 3.52-3.82, 2 Pm 3.64-3.72
Pr (0.4437, 0.4437, 0.7120)  5 Pr 3.32-3.62, 2 Dy 3.32-3.34, 2 Pm 3.52
Pr (0.5563, 0.5563, 0.2880)  5 Pr 3.32-3.62, 2 Dy 3.32-3.34, 2 Pm 3.52
Pr (0.5723, 0.0827, 0.8289)  2 Dy 3.46-3.69, 4 Pr 3.52-3.82, 2 Pm 3.64-3.72
Pr (0.8483, 0.8483, 0.4489)  3 Pm 3.24-3.52, 1 Dy 3.44, 1 Pr 3.62
Pr (0.9173, 0.4277, 0.1711)  2 Dy 3.46-3.69, 4 Pr 3.52-3.82, 2 Pm 3.64-3.72
Dy (0.2886, 0.2886, 0.1443)  8 Pr 3.32-3.69, 1 Pm 3.59
Dy (0.7114, 0.7114, 0.8557)  8 Pr 3.32-3.69, 1 Pm 3.59

Calculated values
- Formation energy from the elements: 0.152 eV per atom
- Final energy: -59.720 eV/cell

***

The following is a PBE calculation of an optimized crystal structure of PmPr5Dy4, from Alexandria via LeMat-Bulk.

Lattice parameters (Å, degrees): 9.6099 9.6099 10.2887 105.98 105.98 21.88
Last column: nearest neighbours and their distance in Å.
Atoms (fractional coordinates):
Pm (0.0000, 0.0000, 0.0000)  6 Dy 3.61-3.62, 4 Pr 3.62, 2 Pm 3.65
Pr (0.0000, 0.0000, 0.5000)  8 Pr 3.63-3.66, 4 Dy 3.68
Pr (0.2004, 0.2004, 0.6003)  5 Dy 3.60-3.65, 7 Pr 3.63-3.67
Pr (0.3994, 0.3994, 0.1956)  4 Dy 3.59-3.65, 2 Pm 3.62, 6 Pr 3.65-3.67
Pr (0.6006, 0.6006, 0.8044)  4 Dy 3.59-3.65, 2 Pm 3.62, 6 Pr 3.65-3.67
Pr (0.7996, 0.7996, 0.3997)  5 Dy 3.60-3.65, 7 Pr 3.63-3.67
Dy (0.1997, 0.1997, 0.1000)  5 Pr 3.59-3.62, 6 Dy 3.61-3.65, 1 Pm 3.62
Dy (0.3990, 0.3990, 0.7034)  6 Pr 3.60-3.68, 4 Dy 3.61-3.65, 2 Pm 3.61
Dy (0.6010, 0.6010, 0.2966)  6 Pr 3.60-3.68, 4 Dy 3.61-3.65, 2 Pm 3.61
Dy (0.8003, 0.8003, 0.9000)  5 Pr 3.59-3.62, 6 Dy 3.61-3.65, 1 Pm 3.62

Calculated values
- Formation energy from the elements: 0.015 eV per atom
- Final energy: -46.907 eV/cell

***

The following is a PBE calculation of an optimized crystal structure of Pm2PrDy, from Alexandria via LeMat-Bulk.

Lattice parameters (Å, degrees): 12.0715 12.0715 12.0715 17.34 17.34 17.34
Last column: nearest neighbours and their distance in Å.
Atoms (fractional coordinates):
Pm (0.2483, 0.2483, 0.2483)  3 Dy 3.59, 6 Pm 3.64, 3 Pr 3.69
Pm (0.7517, 0.7517, 0.7517)  3 Dy 3.59, 6 Pm 3.64, 3 Pr 3.69
Pr (0.0000, 0.0000, 0.0000)  6 Pr 3.64, 6 Pm 3.69
Dy (0.5000, 0.5000, 0.5000)  6 Pm 3.59, 6 Dy 3.64

Calculated values
- Formation energy from the elements: 0.016 eV per atom
- Final energy: -18.818 eV/cell

***

The following is a PBE calculation of an optimized crystal structure of Pm2Pr5Dy3, from Alexandria via LeMat-Bulk.

Lattice parameters (Å, degrees): 9.2856 9.2856 10.1259 108.53 108.53 107.76
Last column: nearest neighbours and their distance in Å.
Atoms (fractional coordinates):
Pm (0.0301, 0.2740, 0.0584)  3 Dy 3.30-3.51, 4 Pr 3.42-3.61
Pm (0.2740, 0.0301, 0.5584)  3 Dy 3.30-3.51, 4 Pr 3.42-3.61
Pm (0.7260, 0.9699, 0.4416)  3 Dy 3.30-3.51, 4 Pr 3.42-3.61
Pm (0.9699, 0.7260, 0.9416)  3 Dy 3.30-3.51, 4 Pr 3.42-3.61
Pr (0.1339, 0.3768, 0.7577)  3 Dy 3.48-3.78, 3 Pr 3.49-3.53, 2 Pm 3.78-3.84
Pr (0.2282, 0.7718, 0.7500)  3 Dy 3.12-3.42
Pr (0.2681, 0.7319, 0.2500)  1 Pr 3.12, 2 Pm 3.42
Pr (0.3768, 0.1339, 0.2577)  3 Dy 3.48-3.78, 3 Pr 3.49-3.53, 2 Pm 3.78-3.84
Pr (0.4759, 0.5241, 0.2500)  3 Pr 3.12-3.49, 2 Dy 3.42
Pr (0.5241, 0.4759, 0.7500)  3 Pr 3.12-3.49, 2 Dy 3.42
Pr (0.6232, 0.8661, 0.7423)  3 Dy 3.48-3.78, 3 Pr 3.49-3.53, 2 Pm 3.78-3.84
Pr (0.7319, 0.2681, 0.7500)  1 Pr 3.12, 2 Pm 3.42
Pr (0.7718, 0.2282, 0.2500)  3 Dy 3.12-3.42
Pr (0.8661, 0.6232, 0.2423)  3 Dy 3.48-3.78, 3 Pr 3.49-3.53, 2 Pm 3.78-3.84
Dy (0.0201, 0.9799, 0.7500)  3 Pr 3.12-3.48, 2 Pm 3.38
Dy (0.2194, 0.4676, 0.4448)  1 Pm 3.30, 5 Pr 3.42-3.62, 1 Dy 3.53
Dy (0.4676, 0.2194, 0.9448)  1 Pm 3.30, 5 Pr 3.42-3.62, 1 Dy 3.53
Dy (0.5324, 0.7806, 0.0552)  1 Pm 3.30, 5 Pr 3.42-3.62, 1 Dy 3.53
Dy (0.7806, 0.5324, 0.5552)  1 Pm 3.30, 5 Pr 3.42-3.62, 1 Dy 3.53
Dy (0.9799, 0.0201, 0.2500)  3 Pr 3.12-3.48, 2 Pm 3.38

Calculated values
- Formation energy from the elements: 0.176 eV per atom
- Final energy: -90.895 eV/cell

***

The following is a PBE calculation of an optimized crystal structure of PmPrDy2, from Alexandria via LeMat-Bulk.

Lattice parameters (Å, degrees): 5.1237 5.1237 5.0705 90.00 90.00 90.00
Last column: nearest neighbours and their distance in Å.
Atoms (fractional coordinates):
Pm (0.0000, 0.0000, 0.0000)  8 Dy 3.60, 4 Pr 3.62
Pr (0.5000, 0.5000, 0.0000)  8 Dy 3.60, 4 Pm 3.62
Dy (0.0000, 0.5000, 0.5000)  4 Pr 3.60, 4 Pm 3.60, 4 Dy 3.62
Dy (0.5000, 0.0000, 0.5000)  4 Pr 3.60, 4 Pm 3.60, 4 Dy 3.62

Calculated values
- Formation energy from the elements: 0.020 eV per atom
- Final energy: -18.653 eV/cell

***

The following is a PBE calculation of an optimized crystal structure of Pm2Pr4Dy, from Alexandria via LeMat-Bulk.

Lattice parameters (Å, degrees): 9.0589 9.0589 9.0589 37.38 37.38 37.38
Last column: nearest neighbours and their distance in Å.
Atoms (fractional coordinates):
Pm (0.1353, 0.1353, 0.1353)  1 Dy 3.42, 7 Pr 3.42-3.82, 3 Pm 3.71
Pm (0.8647, 0.8647, 0.8647)  1 Dy 3.42, 7 Pr 3.42-3.82, 3 Pm 3.71
Pr (0.2709, 0.2709, 0.2709)  4 Pr 3.38-3.60, 1 Pm 3.42, 3 Dy 3.70
Pr (0.4136, 0.4136, 0.4136)  4 Pr 3.38-3.60, 3 Pm 3.63
Pr (0.5864, 0.5864, 0.5864)  4 Pr 3.38-3.60, 3 Pm 3.63
Pr (0.7291, 0.7291, 0.7291)  4 Pr 3.38-3.60, 1 Pm 3.42, 3 Dy 3.70
Dy (0.0000, 0.0000, 0.0000)  2 Pm 3.42, 6 Pr 3.70

Calculated values
- Formation energy from the elements: 0.123 eV per atom
- Final energy: -32.362 eV/cell

***

The following is a PBE calculation of an optimized crystal structure of PmPrDy4, from Alexandria via LeMat-Bulk.

Lattice parameters (Å, degrees): 6.6403 6.6403 6.6403 60.00 60.00 60.00
Last column: nearest neighbours and their distance in Å.
Atoms (fractional coordinates):
Pm (0.0000, 0.0000, 0.0000)  12 Dy 3.89, 4 Pr 4.07
Pr (0.7500, 0.7500, 0.7500)  12 Dy 3.89, 4 Pm 4.07
Dy (0.3748, 0.3748, 0.3748)  6 Dy 3.31-3.33
Dy (0.3748, 0.3748, 0.8756)  6 Dy 3.31-3.33
Dy (0.3748, 0.8756, 0.3748)  6 Dy 3.31-3.33
Dy (0.8756, 0.3748, 0.3748)  6 Dy 3.31-3.33

Calculated values
- Formation energy from the elements: 0.282 eV per atom
- Final energy: -26.247 eV/cell

***

The following is a PBE calculation of an optimized crystal structure of Pm4Pr8Dy3, from Alexandria via LeMat-Bulk.

Lattice parameters (Å, degrees): 12.7913 12.7913 12.7913 32.29 32.29 32.29
Last column: nearest neighbours and their distance in Å.
Atoms (fractional coordinates):
Pm (0.0000, 0.0000, 0.0000)  6 Dy 3.56, 6 Pr 3.64
Pm (0.1640, 0.1640, 0.1640)  4 Pr 3.28-3.62
Pm (0.5000, 0.5000, 0.5000)  6 Pr 3.68, 6 Pm 4.11
Pm (0.8360, 0.8360, 0.8360)  4 Pr 3.28-3.62
Pr (0.2499, 0.2499, 0.7471)  6 Pr 3.54-3.58, 3 Pm 3.62-3.68, 2 Dy 3.63
Pr (0.2499, 0.7471, 0.2499)  6 Pr 3.54-3.58, 3 Pm 3.62-3.68, 2 Dy 3.63
Pr (0.2529, 0.7501, 0.7501)  6 Pr 3.54-3.58, 3 Pm 3.62-3.68, 2 Dy 3.63
Pr (0.2542, 0.2542, 0.2542)  1 Pm 3.28, 3 Dy 3.53, 6 Pr 3.56
Pr (0.7458, 0.7458, 0.7458)  1 Pm 3.28, 3 Dy 3.53, 6 Pr 3.56
Pr (0.7471, 0.2499, 0.2499)  6 Pr 3.54-3.58, 3 Pm 3.62-3.68, 2 Dy 3.63
Pr (0.7501, 0.2529, 0.7501)  6 Pr 3.54-3.58, 3 Pm 3.62-3.68, 2 Dy 3.63
Pr (0.7501, 0.7501, 0.2529)  6 Pr 3.54-3.58, 3 Pm 3.62-3.68, 2 Dy 3.63
Dy (0.0000, 0.5000, 0.5000)  6 Pr 3.53-3.63, 4 Dy 3.56, 2 Pm 3.56
Dy (0.5000, 0.0000, 0.5000)  6 Pr 3.53-3.63, 4 Dy 3.56, 2 Pm 3.56
Dy (0.5000, 0.5000, 0.0000)  6 Pr 3.53-3.63, 2 Pm 3.56, 4 Dy 3.56

Calculated values
- Formation energy from the elements: 0.127 eV per atom
- Final energy: -69.138 eV/cell